Entry 1:
{
  "formula": "SrAlIn2Ag4",
  "functional": "PBE-GGA",
  "state": "relaxed",
  "dft_energy_ev_per_cell": -23.38,
  "dos_ef_per_ev_cell": 2.163,
  "total_magnetization_mub_per_cell": 0.00,
  "lattice_angstrom": [[4.718, 0.000, 0.000], [2.359, 4.086, 0.000], [2.359, 1.362, 9.485]],
  "species": ["Sr", "Ag", "Ag", "Ag", "Ag", "In", "In", "Al"],
  "fractional_positions": [[0.000, 0.000, 0.000], [0.406, 0.406, 0.781], [0.860, 0.860, 0.421], [0.140, 0.140, 0.579], [0.594, 0.594, 0.219], [0.752, 0.752, 0.745], [0.248, 0.248, 0.255], [0.500, 0.500, 0.500]]
}

Entry 2:
{
  "formula": "Sr2AlIn4Ag3",
  "functional": "PBE-GGA",
  "state": "relaxed",
  "dft_energy_ev_per_cell": -29.34,
  "dos_ef_per_ev_cell": 4.831,
  "total_magnetization_mub_per_cell": 0.00,
  "lattice_angstrom": [[4.593, 0.000, 0.000], [0.000, 4.593, 0.000], [0.000, 0.000, 12.217]],
  "species": ["In", "In", "In", "In", "Ag", "Ag", "Ag", "Sr", "Sr", "Al"],
  "fractional_positions": [[0.000, 0.000, 0.000], [0.500, 0.000, 0.634], [0.000, 0.500, 0.366], [0.500, 0.500, 0.000], [0.000, 0.000, 0.500], [0.500, 0.000, 0.858], [0.000, 0.500, 0.142], [0.000, 0.500, 0.749], [0.500, 0.000, 0.251], [0.500, 0.500, 0.500]]
}

no.,density (g cm⁻³)
1,7.044
2,6.347